Entry from the Alexandria database: a PBEsol-optimized structure of YMn2As (SCAN).

```
YMn2As
1.0
-1.978 2.001 4.393
1.978 -2.001 4.393
1.978 2.001 -4.393
Y Mn As
1 2 1
direct
0.000 0.000 0.000
0.252 0.752 0.500
0.748 0.248 0.500
0.500 0.500 0.000
```

Values from the calculation:
symmetry: Immm (71)
VASP energy: -21.45 eV per atom
calculated formation energy: -0.32 eV per atom
crystal system: orthorhombic

=====

Entry from the Alexandria database: a PBEsol-optimized structure of Mn2ZnAs (SCAN).

```
Mn2ZnAs
1.0
3.246 0.000 0.000
0.000 3.246 0.000
0.000 0.000 5.137
Mn Zn As
2 1 1
direct
0.000 0.000 0.000
0.500 0.500 0.268
0.000 0.000 0.488
0.500 0.500 0.790
```

Values from the calculation:
symmetry: P4mm (99)
VASP energy: -17.71 eV per atom
calculated formation energy: -0.15 eV per atom
energy relative to the lowest polymorph listed for this composition: 0.0 meV/atom
crystal system: tetragonal

=====

Entry from the Alexandria database: a PBEsol-optimized structure of MnZn2As (SCAN).

```
MnZn2As
1.0
3.776 0.000 0.000
0.000 3.776 0.000
0.000 0.000 4.022
Mn Zn As
1 2 1
direct
0.000 0.000 0.000
0.000 0.500 0.500
0.500 0.000 0.500
0.500 0.500 0.000
```

Values from the calculation:
symmetry: P4/mmm (123)
VASP energy: -16.44 eV per atom
calculated formation energy: -0.07 eV per atom
crystal system: tetragonal

=====

Entry from the Alexandria database: a PBEsol-optimized structure of MnZn2As (SCAN).

```
MnZn2As
1.0
4.898 -1.387 0.000
4.898 1.387 0.000
-0.719 0.000 4.246
Mn Zn As
1 2 1
direct
0.000 0.000 0.000
0.263 0.263 0.762
0.737 0.737 0.238
0.500 0.500 0.500
```

Values from the calculation:
symmetry: C2/m (12)
VASP energy: -16.39 eV per atom
calculated formation energy: -0.02 eV per atom
crystal system: monoclinic

=====

Entry from the Alexandria database: a PBEsol-optimized structure of Mn2ZnAs (SCAN).

```
Mn2ZnAs
1.0
-1.884 1.884 3.593
1.884 -1.884 3.593
1.884 1.884 -3.593
Mn Zn As
2 1 1
direct
0.250 0.750 0.500
0.750 0.250 0.500
0.000 0.000 0.000
0.500 0.500 0.000
```

Values from the calculation:
symmetry: I4/mmm (139)
VASP energy: -17.69 eV per atom
calculated formation energy: -0.13 eV per atom
energy relative to the lowest polymorph listed for this composition: 20.6 meV/atom
crystal system: tetragonal

=====

Entry from the Alexandria database: a PBEsol-optimized structure of ZrMn2As (SCAN).

```
ZrMn2As
1.0
-1.920 1.920 3.939
1.920 -1.920 3.939
1.920 1.920 -3.939
Zr Mn As
1 2 1
direct
0.000 0.000 0.000
0.250 0.750 0.500
0.750 0.250 0.500
0.500 0.500 0.000
```

Values from the calculation:
symmetry: I4/mmm (139)
VASP energy: -22.17 eV per atom
calculated formation energy: -0.32 eV per atom
crystal system: tetragonal

=====

Entry from the Alexandria database: a PBEsol-optimized structure of ZrMn3As (SCAN).

```
ZrMn3As
1.0
4.411 0.000 0.000
0.000 4.411 0.000
0.000 0.000 4.411
Zr Mn As
1 3 1
direct
0.000 0.000 0.000
0.000 0.500 0.500
0.500 0.000 0.500
0.500 0.500 0.000
0.500 0.500 0.500
```

Values from the calculation:
symmetry: Pm-3m (221)
VASP energy: -21.04 eV per atom
calculated formation energy: 0.09 eV per atom
crystal system: cubic

=====

Entry from the Alexandria database: a PBEsol-optimized structure of ZrMn2As (SCAN).

```
ZrMn2As
1.0
-1.850 1.850 4.180
1.850 -1.850 4.180
1.850 1.850 -4.180
Zr Mn As
1 2 1
direct
0.000 0.000 0.000
0.250 0.750 0.500
0.500 0.500 0.000
0.750 0.250 0.500
```

Values from the calculation:
symmetry: I-4m2 (119)
VASP energy: -22.10 eV per atom
calculated formation energy: -0.25 eV per atom
crystal system: tetragonal

=====

Magnetization values, unit μB/f.u., following the record order: 7.299 6.631 3.594 3.469 6.210 5.614 8.345 4.795.